Record 1
Below is a relaxed Mn2BiCl8 crystal, with properties calculated at the PBE level.

The structure in POSCAR format:
```
Mn2BiCl8
1.0
3.6479 0.2266 -1.3620
0.6801 9.7685 -0.1395
-1.6666 0.6827 10.3042
Cl Mn Bi
8 2 1
Direct
0.6960 0.6344 0.5417
0.0989 0.1542 0.1126
0.0865 0.1618 0.7295
0.9135 0.8382 0.2705
0.3040 0.3656 0.4583
0.9011 0.8458 0.8874
0.4501 0.5482 0.1830
0.5499 0.4518 0.8170
0.8992 0.4049 0.6741
0.1008 0.5951 0.3259
0.5000 0.0000 0.0000
```

Magnetic moment in μB/cell: 9.00
SG: P-1
Energy relative to the elements, uncorrected in eV/f.u.: -10.7


Record 2
Below is a relaxed MnBiCl4 crystal, with properties calculated at the PBE level.

The structure in POSCAR format:
```
MnBiCl4
1.0
6.5003 -1.3283 0.0000
-2.7142 8.0246 0.0000
-1.8931 -3.3481 7.7824
Bi Cl Mn
2 8 2
Direct
0.7182 0.4682 0.9364
0.2818 0.5318 0.0636
0.3905 0.0918 0.6889
0.0391 0.8902 0.1313
0.2015 0.4028 0.3110
0.9609 0.1098 0.8687
0.6095 0.9082 0.3110
0.5923 0.2411 0.1313
0.7985 0.5972 0.6889
0.4077 0.7589 0.8687
0.8142 0.0642 0.1285
0.1858 0.9358 0.8715
```

Magnetic moment in μB/cell: 9.98
SG: C2/c
Energy relative to the elements, uncorrected in eV/f.u.: -5.5


Record 3
Below is a relaxed MnBiCl5 crystal, with properties calculated at the PBE level.

The structure in POSCAR format:
```
MnBiCl5
1.0
8.9318 -1.2981 0.0000
-5.9940 8.8663 0.0000
0.0000 0.0000 13.6487
Bi Cl Mn
4 20 4
Direct
0.7552 0.2485 0.5048
0.2552 0.7485 0.9952
0.7448 0.2515 0.0048
0.2448 0.7515 0.4952
0.0358 0.8196 0.5874
0.8971 0.5045 0.3839
0.0551 0.8162 0.8915
0.0585 0.4510 0.8839
0.0927 0.1355 0.7483
0.1029 0.4955 0.6161
0.4415 0.0490 0.3839
0.9642 0.1804 0.4126
0.5927 0.6355 0.7517
0.9415 0.5490 0.1161
0.4073 0.3645 0.2483
0.3971 0.0045 0.1161
0.6029 0.9955 0.8839
0.5358 0.3196 0.9126
0.4449 0.6838 0.3915
0.4642 0.6804 0.0874
0.9449 0.1838 0.1085
0.9073 0.8645 0.2517
0.5585 0.9510 0.6161
0.5551 0.3162 0.6085
0.9504 0.8496 0.7436
0.0496 0.1504 0.2564
0.5496 0.6504 0.2436
0.4504 0.3496 0.7564
```

Magnetic moment in μB/cell: 20.00
SG: P2_1/c
Energy relative to the elements, uncorrected in eV/f.u.: -6.9


Record 4
Below is a relaxed MnBiCl2 crystal, with properties calculated at the PBE level.

The structure in POSCAR format:
```
MnBiCl2
1.0
-3.9348 -1.3170 8.8524
-1.6811 1.2902 9.5442
-4.8624 2.0174 8.2383
Mn Bi Cl
1 1 2
Direct
0.0000 0.0000 0.0000
0.5000 0.5000 0.5000
0.9222 0.9222 0.9222
0.0778 0.0778 0.0778
```

Magnetic moment in μB/cell: 4.22
SG: R-3m
Energy relative to the elements, uncorrected in eV/f.u.: -0.9


Record 5
Below is a relaxed Mn2BiCl8 crystal, with properties calculated at the PBE level.

The structure in POSCAR format:
```
Mn2BiCl8
1.0
6.5961 0.4675 0.3547
0.6308 7.9224 0.6735
0.6308 2.7819 7.4485
Cl Mn Bi
8 2 1
Direct
0.2470 0.3470 0.3470
0.7016 0.1709 0.1709
0.2984 0.8291 0.8291
0.2220 0.8894 0.2999
0.7530 0.6530 0.6530
0.7780 0.7001 0.1106
0.2220 0.2999 0.8894
0.7780 0.1106 0.7001
0.3476 0.1839 0.1839
0.6524 0.8161 0.8161
0.0000 0.0000 0.0000
```

Magnetic moment in μB/cell: 9.00
SG: C2/m
Energy relative to the elements, uncorrected in eV/f.u.: -10.1


Record 6
Below is a relaxed MnBiCl2 crystal, with properties calculated at the PBE level.

The structure in POSCAR format:
```
MnBiCl2
1.0
2.0270 0.0000 12.8706
-1.0135 1.7554 12.8706
-1.0135 -1.7554 12.8706
Cl Bi Mn
2 1 1
Direct
0.8717 0.8717 0.8717
0.1283 0.1283 0.1283
0.0000 0.0000 0.0000
0.5000 0.5000 0.5000
```

Magnetic moment in μB/cell: 4.97
SG: R-3m
Energy relative to the elements, uncorrected in eV/f.u.: -2.4


Record 7
Below is a relaxed MnBiCl2 crystal, with properties calculated at the PBE level.

The structure in POSCAR format:
```
MnBiCl2
1.0
1.0202 1.2149 4.8091
-3.7294 0.1357 3.4231
-0.2503 -3.5391 3.6134
Mn Cl Bi
1 2 1
Direct
0.0000 0.0000 0.0000
0.2500 0.2500 0.2500
0.7500 0.7500 0.7500
0.5000 0.5000 0.5000
```

Magnetic moment in μB/cell: 3.95
SG: Fm-3m
Energy relative to the elements, uncorrected in eV/f.u.: 0.6


Record 8
Below is a relaxed Mn2BiCl6 crystal, with properties calculated at the PBE level.

The structure in POSCAR format:
```
Mn2BiCl6
1.0
5.0388 0.0000 0.0000
-2.5194 6.3686 0.1405
0.0000 -1.8925 8.3470
Mn Cl Bi
2 6 1
Direct
0.7626 0.5253 0.8340
0.2374 0.4747 0.1660
0.0604 0.1208 0.2113
0.9396 0.8792 0.7887
0.2488 0.4976 0.8791
0.7512 0.5024 0.1209
0.3752 0.7503 0.4033
0.6248 0.2497 0.5967
0.0000 0.0000 0.5000
```

Magnetic moment in μB/cell: 9.95
SG: C2/m
Energy relative to the elements, uncorrected in eV/f.u.: -7.9


Record 9
Below is a relaxed Mn2BiCl crystal, with properties calculated at the PBE level.

The structure in POSCAR format:
```
Mn2BiCl
1.0
0.0000 3.5383 3.5383
3.5383 0.0000 3.5383
3.5383 3.5383 0.0000
Mn Bi Cl
2 1 1
Direct
0.7500 0.7500 0.7500
0.2500 0.2500 0.2500
0.5000 0.5000 0.5000
0.0000 0.0000 0.0000
```

Magnetic moment in μB/cell: 9.56
SG: Fm-3m
Energy relative to the elements, uncorrected in eV/f.u.: 1.5


Record 10
Below is a relaxed MnBiCl crystal, with properties calculated at the PBE level.

The structure in POSCAR format:
```
MnBiCl
1.0
3.8908 -0.3949 0.1137
0.6706 6.7187 0.3951
0.2172 3.8296 6.6643
Bi Mn Cl
2 2 2
Direct
0.0017 0.1427 0.2670
0.9983 0.8573 0.7330
0.5001 0.7551 0.4999
0.4999 0.2449 0.5001
0.4986 0.3386 0.7606
0.5014 0.6614 0.2394
```

Magnetic moment in μB/cell: 8.09
SG: P-1
Energy relative to the elements, uncorrected in eV/f.u.: -0.9


Record 11
Below is a relaxed NaMnBiCl6 crystal, with properties calculated at the PBE level.

The structure in POSCAR format:
```
NaMnBiCl6
1.0
-5.8413 -2.8953 -1.9114
2.7231 -1.5093 6.0386
-6.4000 9.4478 5.2474
Cl Na Mn Bi
12 2 2 2
Direct
0.3443 0.9787 0.1327
0.3656 0.3443 0.8673
0.3656 0.0213 0.6327
0.0213 0.3656 0.1327
0.6557 0.6344 0.6327
0.0213 0.6557 0.3673
0.6344 0.9787 0.3673
0.6344 0.6557 0.1327
0.9787 0.3443 0.6327
0.6557 0.0213 0.8673
0.9787 0.6344 0.8673
0.3443 0.3656 0.3673
0.0000 0.0000 0.0000
0.0000 0.0000 0.5000
0.6667 0.3333 0.7500
0.3333 0.6667 0.2500
0.3333 0.6667 0.7500
0.6667 0.3333 0.2500
```

Magnetic moment in μB/cell: 10.00
SG: P-31c
Energy relative to the elements, uncorrected in eV/f.u.: -10.9


Record 12
Below is a relaxed MnNi2BiCl crystal, with properties calculated at the PBE level.

The structure in POSCAR format:
```
MnNi2BiCl
1.0
4.6984 0.0000 0.0000
0.0000 4.6984 0.0000
0.0000 0.0000 4.2920
Ni Mn Bi Cl
2 1 1 1
Direct
0.0000 0.5000 0.0000
0.5000 0.0000 0.0000
0.0000 0.0000 0.0000
0.5000 0.5000 0.5000
0.0000 0.0000 0.5000
```

Magnetic moment in μB/cell: 3.96
SG: P4/mmm
Energy relative to the elements, uncorrected in eV/f.u.: 3.1


Record 13
Below is a relaxed MnBiPCl2 crystal, with properties calculated at the PBE level.

The structure in POSCAR format:
```
MnBiPCl2
1.0
4.5599 0.0000 0.0000
0.0000 4.5599 0.0000
0.0000 0.0000 4.8307
P Mn Cl Bi
1 1 2 1
Direct
0.0000 0.0000 0.5000
0.0000 0.0000 0.0000
0.5000 0.0000 0.0000
0.0000 0.5000 0.0000
0.5000 0.5000 0.5000
```

Magnetic moment in μB/cell: 0.10
SG: P4/mmm
Energy relative to the elements, uncorrected in eV/f.u.: 0.8


Record 14
Below is a relaxed MnBiPCl2 crystal, with properties calculated at the PBE level.

The structure in POSCAR format:
```
MnBiPCl2
1.0
5.3304 0.0000 0.0000
0.0000 5.3304 0.0000
0.0000 0.0000 5.4931
P Mn Bi Cl
1 1 1 2
Direct
0.0000 0.0000 0.5000
0.5000 0.5000 0.5000
0.0000 0.0000 0.0000
0.5000 0.0000 0.0000
0.0000 0.5000 0.0000
```

Magnetic moment in μB/cell: 5.39
SG: P4/mmm
Energy relative to the elements, uncorrected in eV/f.u.: 2.0


Record 15
Below is a relaxed MnBiP2Cl crystal, with properties calculated at the PBE level.

The structure in POSCAR format:
```
MnBiP2Cl
1.0
-4.6407 -1.9453 1.6574
1.1523 -4.6595 -2.2424
2.2683 -1.5948 4.4792
P Cl Mn Bi
2 1 1 1
Direct
0.5000 0.0000 0.0000
0.0000 0.5000 0.0000
0.0000 0.0000 0.5000
0.5000 0.5000 0.5000
0.0000 0.0000 0.0000
```

Magnetic moment in μB/cell: 4.26
SG: P4/mmm
Energy relative to the elements, uncorrected in eV/f.u.: 4.9


Record 16
Below is a relaxed MnBiP2Cl crystal, with properties calculated at the PBE level.

The structure in POSCAR format:
```
MnBiP2Cl
1.0
-4.2186 -0.3763 -1.2234
1.2126 -2.5241 -3.4049
-0.4654 -4.0820 2.8603
P Cl Mn Bi
2 1 1 1
Direct
0.5000 0.0000 0.0000
0.0000 0.5000 0.0000
0.0000 0.0000 0.5000
0.0000 0.0000 0.0000
0.5000 0.5000 0.5000
```

Magnetic moment in μB/cell: 0.00
SG: P4/mmm
Energy relative to the elements, uncorrected in eV/f.u.: 1.4


Record 17
Below is a relaxed MnReBi2Cl crystal, with properties calculated at the PBE level.

The structure in POSCAR format:
```
MnReBi2Cl
1.0
5.3440 0.0000 0.0000
0.0000 4.0979 0.0000
0.0000 0.0000 5.3440
Bi Re Cl Mn
2 1 1 1
Direct
0.0000 0.0000 0.5000
0.5000 0.0000 0.0000
0.5000 0.5000 0.5000
0.0000 0.5000 0.0000
0.0000 0.0000 0.0000
```

Magnetic moment in μB/cell: 3.40
SG: P4/mmm
Energy relative to the elements, uncorrected in eV/f.u.: 5.9


Record 18
Below is a relaxed Mn2TlBiCl8 crystal, with properties calculated at the PBE level.

The structure in POSCAR format:
```
Mn2TlBiCl8
1.0
6.4716 0.6172 0.6472
0.6497 6.4774 0.6688
0.8107 0.8854 8.9713
Mn Cl Tl Bi
2 8 1 1
Direct
0.5439 0.5496 0.2866
0.4561 0.4504 0.7134
0.7120 0.7376 0.0431
0.8100 0.2744 0.7702
0.2880 0.2624 0.9569
0.7450 0.2080 0.2233
0.3453 0.3217 0.5177
0.1900 0.7256 0.2298
0.2550 0.7920 0.7767
0.6547 0.6783 0.4823
0.0000 0.0000 0.5000
0.0000 0.0000 0.0000
```

Magnetic moment in μB/cell: 10.00
SG: P-1
Energy relative to the elements, uncorrected in eV/f.u.: -12.1


Record 19
Below is a relaxed MnTlBiCl6 crystal, with properties calculated at the PBE level.

The structure in POSCAR format:
```
MnTlBiCl6
1.0
-1.9676 5.9995 -2.8436
-4.2925 -5.4334 -0.0619
-5.3347 4.0746 12.2878
Cl Tl Bi Mn
12 2 2 2
Direct
0.0206 0.3832 0.1433
0.9794 0.6168 0.8567
0.0206 0.6374 0.3567
0.6374 0.0206 0.8567
0.3832 0.0206 0.6433
0.6168 0.6374 0.1433
0.6374 0.6168 0.6433
0.9794 0.3626 0.6433
0.6168 0.9794 0.3567
0.3626 0.3832 0.3567
0.3832 0.3626 0.8567
0.3626 0.9794 0.1433
0.0000 0.0000 0.0000
0.0000 0.0000 0.5000
0.6667 0.3333 0.2500
0.3333 0.6667 0.7500
0.6667 0.3333 0.7500
0.3333 0.6667 0.2500
```

Magnetic moment in μB/cell: 10.00
SG: P-31c
Energy relative to the elements, uncorrected in eV/f.u.: -9.5


Record 20
Below is a relaxed BiMoCl2 crystal, with properties calculated at the PBE level.

The structure in POSCAR format:
```
BiMoCl2
1.0
-1.6329 5.5498 -3.8457
-4.2231 -3.9266 -3.8734
-6.6041 1.8076 -0.8613
Mo Cl Bi
2 4 2
Direct
0.5000 0.5000 0.0000
0.2500 0.7500 0.5000
0.5009 0.1250 0.2500
0.2491 0.6250 0.2500
0.3750 0.4991 0.7500
0.8750 0.7509 0.7500
0.7500 0.2500 0.5000
0.0000 0.0000 0.0000
```

Magnetic moment in μB/cell: 0.00
SG: I-42d
Energy relative to the elements, uncorrected in eV/f.u.: 2.2